Entry 1:
Rb4Ce3ZnS8: optimized geometry, PBE-GGA.

Summary:
- Total DFT energy (no corrections): -80.142 eV/f.u.
- Crystal system: monoclinic

Cell lengths 8.2219, 9.0255, 8.3268 Å; angles 117.46, 119.58, 90.00 degrees
With the nearest neighbours (Å) after each atom.
Atoms (fractional coordinates):
Rb 0.5000 0.0000 0.0000  6 S 3.31-3.46
Rb 0.5000 0.0000 0.5000  6 S 3.31-3.39
Rb 0.0000 0.0000 0.0000  6 S 3.34-3.37
Rb 0.0000 0.0000 0.5000  6 S 3.31-3.39
Ce 0.5000 0.5000 0.0000  6 S 2.83-2.84
Ce 0.5000 0.5000 0.5000  6 S 2.79-2.84
Ce 0.0000 0.5000 0.5000  6 S 2.79-2.84
Zn 0.0000 0.5000 0.0000  6 S 2.67-2.91
S 0.2187 0.6850 0.9626  1 Zn 2.67, 2 Ce 2.83-2.84
S 0.2370 0.6979 0.4740  2 Ce 2.79, 1 Zn 2.91
S 0.2688 0.3028 0.5376  3 Ce 2.82-2.84
S 0.7439 0.6850 0.9626  1 Zn 2.67, 2 Ce 2.83-2.84
S 0.2561 0.3150 0.0374  1 Zn 2.67, 2 Ce 2.83-2.84
S 0.7312 0.6972 0.4624  3 Ce 2.82-2.84
S 0.7630 0.3021 0.5260  2 Ce 2.79, 1 Zn 2.91
S 0.7813 0.3150 0.0374  1 Zn 2.67, 2 Ce 2.83-2.84

Entry 2:
KNaSnPb: optimized geometry, PBE-GGA.

Summary:
- Total DFT energy (no corrections): -10.606 eV/f.u.
- Crystal system: cubic

Cell lengths 5.6348, 5.6348, 5.6348 Å; angles 60.00, 60.00, 60.00 degrees
With the nearest neighbours (Å) after each atom.
Atoms (fractional coordinates):
Pb 0.5000 0.5000 0.5000  4 Sn 3.45, 4 K 3.45
Na 0.0000 0.0000 0.0000  4 K 3.45, 4 Sn 3.45
K 0.2500 0.2500 0.2500  4 Pb 3.45, 4 Na 3.45
Sn 0.7500 0.7500 0.7500  4 Na 3.45, 4 Pb 3.45

Entry 3:
TmThSn4Ru2: optimized geometry, PBE-GGA.

Summary:
- Total DFT energy (no corrections): -48.804 eV/f.u.
- Crystal system: tetragonal

Cell lengths 4.3189, 4.3189, 10.5735 Å; angles 90.00, 90.00, 90.00 degrees
With the nearest neighbours (Å) after each atom.
Atoms (fractional coordinates):
Tm 0.0000 0.0000 0.0000  8 Sn 3.19
Th 0.0000 0.0000 0.5000  8 Ru 3.27, 8 Sn 3.65
Sn 0.0000 0.5000 0.2219  2 Ru 2.79, 4 Sn 3.05
Sn 0.5000 0.0000 0.7781  2 Ru 2.79, 4 Sn 3.05
Sn 0.5000 0.0000 0.2219  2 Ru 2.79, 4 Sn 3.05
Sn 0.0000 0.5000 0.7781  2 Ru 2.79, 4 Sn 3.05
Ru 0.5000 0.5000 0.3889  1 Ru 2.35
Ru 0.5000 0.5000 0.6111  1 Ru 2.35

Entry 4:
Ge3Sb2Pd8: optimized geometry, PBE-GGA.

Summary:
- Total DFT energy (no corrections): -66.907 eV/f.u.
- Crystal system: monoclinic

Cell lengths 6.9163, 8.3377, 6.6349 Å; angles 128.93, 112.19, 90.00 degrees
With the nearest neighbours (Å) after each atom.
Atoms (fractional coordinates):
Ge 0.5000 0.0000 0.0000  6 Pd 2.44-2.53
Ge 0.0000 0.2555 0.0000  6 Pd 2.47-2.58
Ge 0.0000 0.7445 0.0000  6 Pd 2.47-2.58
Sb 0.3643 0.2844 0.5687  6 Pd 2.65-2.86
Sb 0.6357 0.7156 0.4313  6 Pd 2.65-2.86
Pd 0.8691 0.5738 0.1476  2 Ge 2.50, 1 Sb 2.65
Pd 0.1309 0.4262 0.8524  2 Ge 2.50, 1 Sb 2.65
Pd 0.9152 0.1036 0.2071  3 Ge 2.53-2.58, 1 Sb 2.74
Pd 0.0848 0.8964 0.7929  3 Ge 2.53-2.58, 1 Sb 2.74
Pd 0.5969 0.6684 0.8074  2 Ge 2.44-2.47, 1 Sb 2.66
Pd 0.5969 0.1391 0.8074  2 Ge 2.44-2.47, 1 Sb 2.66
Pd 0.4031 0.8609 0.1926  2 Ge 2.44-2.47, 1 Sb 2.66
Pd 0.4031 0.3316 0.1926  2 Ge 2.44-2.47, 1 Sb 2.66

Entry 5:
AlCuOs2: optimized geometry, PBE-GGA.

Summary:
- Total DFT energy (no corrections): -29.459 eV/f.u.
- Crystal system: orthorhombic

Cell lengths 2.7041, 2.7041, 8.5489 Å; angles 90.00, 90.00, 116.06 degrees
With the nearest neighbours (Å) after each atom.
Atoms (fractional coordinates):
Os 0.0000 0.0000 0.0066  2 Al 2.53, 2 Cu 2.62, 4 Os 2.70
Os 0.0000 0.0000 0.4934  2 Al 2.53, 2 Cu 2.62, 4 Os 2.70
Al 0.5000 0.5000 0.2500  4 Os 2.53, 4 Al 2.70
Cu 0.5000 0.5000 0.7500  4 Os 2.62, 6 Cu 2.70-2.86

Entry 6:
MnCo: optimized geometry, PBE-GGA.

Summary:
- Total DFT energy (no corrections): -16.115 eV/f.u.
- Crystal system: trigonal

Cell lengths 8.2625, 8.2625, 8.2625 Å; angles 17.23, 17.23, 17.23 degrees
With the nearest neighbours (Å) after each atom.
Atoms (fractional coordinates):
Co 0.0000 0.0000 0.0000  9 Co 2.48-2.49, 3 Mn 2.53
Co 0.2500 0.2500 0.2500  9 Co 2.48-2.49, 3 Mn 2.52
Mn 0.4981 0.4981 0.4981  9 Mn 2.41-2.48, 3 Co 2.52
Mn 0.7519 0.7519 0.7519  9 Mn 2.41-2.48, 3 Co 2.53